No. 1
Density functional theory data (PBE) for a relaxed structure of Pr3ThBi4.

Unit cell a=4.635 b=8.013 c=8.013 alpha=109.47 beta=90.00 gamma=90.00
Element x y z (fractional)
Bi 0.000 0.248 0.248
Bi 0.000 0.752 0.752
Bi 0.500 0.248 0.752
Bi 0.500 0.752 0.248
Pr 0.000 0.500 0.000
Pr 0.000 0.000 0.500
Pr 0.500 0.500 0.500
Th 0.500 0.000 0.000

The total moment is 0.0 μB per cell. The total DFT energy (no corrections) comes out at -0.407 Ry/atom. For the calculated volume, the calculation gives 281 Å³/cell. The space group is No. 65. Its formation enthalpy at 0 K is -0.88 eV per atom.

---

No. 2
Density functional theory data (PBE) for a relaxed structure of Tb6SmHo2.

Unit cell a=3.562 b=8.711 c=12.820 alpha=132.75 beta=82.00 gamma=90.07
Element x y z (fractional)
Sm 0.000 0.000 0.000
Tb 0.111 0.444 0.778
Tb 0.778 0.110 0.444
Tb 0.667 0.666 0.666
Tb 0.333 0.334 0.334
Tb 0.889 0.556 0.222
Tb 0.222 0.890 0.556
Ho 0.556 0.223 0.889
Ho 0.444 0.777 0.111

The total moment is 0.0 μB per cell. The total DFT energy (no corrections) comes out at -0.339 Ry/atom. For the calculated volume, the calculation gives 287 Å³/cell. The value obtained for the relative energy among the computed polymorphs is 0.000 eV/atom. The space group is No. 2. Its formation enthalpy at 0 K is 0.02 eV per atom.

---

No. 3
Density functional theory data (PBE) for a relaxed structure of PmHPd.

Unit cell a=3.991 b=3.950 c=3.950 alpha=120.00 beta=90.00 gamma=90.00
Element x y z (fractional)
H 0.169 0.000 0.000
Pd 0.666 0.333 0.667
Pm 0.166 0.667 0.333

The total moment is 0.0 μB per cell. The total DFT energy (no corrections) comes out at -0.358 Ry/atom. For the calculated volume, the calculation gives 54 Å³/cell. The value obtained for the relative energy among the computed polymorphs is 0.169 eV/atom. The space group is No. 156.

---

No. 4
Density functional theory data (PBE) for a relaxed structure of Li2Cd3.

Unit cell a=5.922 b=4.649 c=7.757 alpha=107.94 beta=106.16 gamma=91.35
Element x y z (fractional)
Cd 0.750 0.000 0.000
Cd 0.146 0.615 0.234
Cd 0.354 0.385 0.766
Cd 0.854 0.385 0.766
Cd 0.250 0.000 0.000
Cd 0.646 0.615 0.234
Li 0.504 0.803 0.603
Li 0.496 0.197 0.397
Li 0.996 0.197 0.398
Li 0.004 0.803 0.602

The total moment is 0.0 μB per cell. The total DFT energy (no corrections) comes out at -0.110 Ry/atom. For the calculated volume, the calculation gives 194 Å³/cell. The value obtained for the relative energy among the computed polymorphs is 0.012 eV/atom. The space group is No. 2. Its formation enthalpy at 0 K is -0.18 eV per atom.

---

No. 5
Density functional theory data (PBE) for a relaxed structure of Rb6CeBr8.

Unit cell a=9.972 b=9.972 c=9.972 alpha=60.00 beta=60.00 gamma=60.00
Element x y z (fractional)
Rb 0.000 0.500 0.500
Rb 0.500 0.000 0.500
Rb 0.500 0.000 0.000
Rb 0.500 0.500 0.000
Rb 0.000 0.500 0.000
Rb 0.000 0.000 0.500
Br 0.784 0.784 0.216
Br 0.250 0.250 0.250
Br 0.216 0.784 0.216
Br 0.216 0.784 0.784
Br 0.216 0.216 0.784
Br 0.784 0.216 0.216
Br 0.784 0.216 0.784
Br 0.750 0.750 0.750
Ce 0.000 0.000 0.000

The total moment is 1.6 μB per cell. The total DFT energy (no corrections) comes out at -0.248 Ry/atom. For the calculated volume, the calculation gives 701 Å³/cell. For the formation energy (no corrections), the calculation gives -163.57 kJ per mole of atoms. The space group is No. 225.

---

No. 6
Density functional theory data (PBE) for a relaxed structure of HfZrIn.

Unit cell a=3.027 b=5.037 c=5.037 alpha=120.00 beta=90.00 gamma=90.00
Element x y z (fractional)
In 0.666 0.667 0.333
Zr 0.167 0.333 0.667
Hf 0.167 0.000 0.000

The total moment is 0.0 μB per cell. The total DFT energy (no corrections) comes out at -0.515 Ry/atom. For the calculated volume, the calculation gives 67 Å³/cell. The value obtained for the relative energy among the computed polymorphs is 0.236 eV/atom. The space group is No. 187. Its formation enthalpy at 0 K is 0.07 eV per atom.

---

No. 7
Density functional theory data (PBE) for a relaxed structure of CeCoH.

Unit cell a=3.507 b=3.507 c=6.704 alpha=90.01 beta=89.98 gamma=90.00
Element x y z (fractional)
H 0.070 0.572 0.972
H 0.566 0.073 0.617
Co 0.568 0.072 0.353
Co 0.068 0.572 0.236
Ce 0.570 0.072 0.000
Ce 0.066 0.572 0.588

The total moment is 0.0 μB per cell. The total DFT energy (no corrections) comes out at -0.417 Ry/atom. For the calculated volume, the calculation gives 82 Å³/cell. The value obtained for the relative energy among the computed polymorphs is 0.136 eV/atom. The space group is No. 11.

---

No. 8
Density functional theory data (PBE) for a relaxed structure of HfNi2Mo.

Unit cell a=4.364 b=4.364 c=4.364 alpha=60.00 beta=60.00 gamma=60.00
Element x y z (fractional)
Ni 0.750 0.750 0.750
Ni 0.250 0.250 0.250
Mo 0.000 0.000 0.000
Hf 0.500 0.500 0.500

The total moment is 0.0 μB per cell. The total DFT energy (no corrections) comes out at -0.598 Ry/atom. For the calculated volume, the calculation gives 59 Å³/cell. The value obtained for the relative energy among the computed polymorphs is 0.000 eV/atom. The space group is No. 225. Its formation enthalpy at 0 K is -0.05 eV per atom.

---

No. 9
Density functional theory data (PBE) for a relaxed structure of WSe2.

Unit cell a=8.070 b=8.070 c=4.900 alpha=90.00 beta=90.00 gamma=156.87
Element x y z (fractional)
Se 0.347 0.653 0.250
Se 0.653 0.347 0.750
Se 0.090 0.910 0.250
Se 0.910 0.090 0.750
W 0.284 0.716 0.750
W 0.716 0.284 0.250

The total moment is 0.0 μB per cell. The total DFT energy (no corrections) comes out at -0.494 Ry/atom. For the calculated volume, the calculation gives 125 Å³/cell. For the formation energy (no corrections), the calculation gives -7.82 kJ per mole of atoms. The space group is No. 63.

---

No. 10
Density functional theory data (PBE) for a relaxed structure of Cd3Pt2Rh.

Unit cell a=3.327 b=3.327 c=9.419 alpha=90.00 beta=90.00 gamma=90.00
Element x y z (fractional)
Cd 0.000 0.000 0.000
Cd 0.000 0.000 0.663
Cd 0.000 0.000 0.337
Pt 0.500 0.500 0.168
Pt 0.500 0.500 0.832
Rh 0.500 0.500 0.500

The total moment is 0.0 μB per cell. The total DFT energy (no corrections) comes out at -0.288 Ry/atom. For the calculated volume, the calculation gives 104 Å³/cell. The space group is No. 123. Its formation enthalpy at 0 K is -0.22 eV per atom.

---

No. 11
Density functional theory data (PBE) for a relaxed structure of RuPt4.

Unit cell a=5.624 b=5.624 c=5.170 alpha=90.00 beta=90.00 gamma=90.00
Element x y z (fractional)
Pt 0.785 0.600 0.879
Pt 0.400 0.785 0.121
Pt 0.715 0.100 0.621
Pt 0.215 0.400 0.879
Pt 0.285 0.900 0.621
Pt 0.100 0.285 0.379
Pt 0.600 0.215 0.121
Pt 0.900 0.715 0.379
Ru 0.500 0.500 0.500
Ru 0.000 0.000 0.000

The total moment is 0.0 μB per cell. The total DFT energy (no corrections) comes out at -0.472 Ry/atom. For the calculated volume, the calculation gives 164 Å³/cell. The value obtained for the relative energy among the computed polymorphs is 0.266 eV/atom. The space group is No. 114. Its formation enthalpy at 0 K is 0.26 eV per atom.

---

No. 12
Density functional theory data (PBE) for a relaxed structure of AcCd12Hg6.

Unit cell a=8.128 b=8.128 c=8.128 alpha=103.10 beta=103.10 gamma=103.10
Element x y z (fractional)
Cd 0.272 0.000 0.727
Cd 0.728 0.000 0.273
Cd 0.813 0.409 0.410
Cd 0.187 0.591 0.590
Cd 0.000 0.273 0.728
Cd 0.591 0.590 0.187
Cd 0.410 0.813 0.409
Cd 0.273 0.728 0.000
Cd 0.000 0.727 0.272
Cd 0.590 0.187 0.591
Cd 0.727 0.272 0.000
Cd 0.409 0.410 0.813
Hg 0.432 0.171 0.173
Hg 0.829 0.827 0.568
Hg 0.827 0.568 0.829
Hg 0.568 0.829 0.827
Hg 0.173 0.432 0.171
Hg 0.171 0.173 0.432
Ac 0.000 0.000 0.000

The total moment is 0.0 μB per cell. The total DFT energy (no corrections) comes out at -0.069 Ry/atom. For the calculated volume, the calculation gives 487 Å³/cell. The value obtained for the relative energy among the computed polymorphs is 0.000 eV/atom. The space group is No. 148. Its formation enthalpy at 0 K is -0.05 eV per atom.

---

Q: Which formula does entry 12 have?
A: AcCd12Hg6

---

Q: The highest total moment belongs to which entry?
A: Rb6CeBr8

---

Q: Which of these has the lowest calculated volume?
A: PmHPd